Entry 1:
This record from Alexandria describes a geometry-optimized Ca2Sm5Y structure. The functional is PBE.

For the formation energy, the calculation gives 0.43 eV/f.u. The calculation puts the total DFT energy (no corrections) at -67.3 eV/cell. Its total magnetic moment is 0.000 μB per formula unit.

The space group is I4/mmm (No. 139) and the conventional cell measures 5.1692, 5.1692 and 21.0935 Å, with angles of 90.00, 90.00 and 90.00 degrees. The inequivalent atoms are Ca at (0.0000, 0.0000, 0.2498), Sm at (0.0000, 0.0000, 0.0000), Sm at (0.0000, 0.5000, 0.1174) and Y at (0.0000, 0.0000, 0.5000).

***

Entry 2:
This record from Alexandria describes a geometry-optimized PuUSeS structure. The functional is PBE.

The calculation puts the total DFT energy (no corrections) at -116.5 eV/cell. Its total magnetic moment is 8.251 μB per formula unit.

The space group is R3m (No. 160, hexagonal axes) and the conventional cell measures 3.9338, 3.9338 and 20.3470 Å, with angles of 90.00, 90.00 and 120.00 degrees. The inequivalent atoms are Pu at (0.0000, 0.0000, 0.0000), U at (0.0000, 0.0000, 0.5112), Se at (0.0000, 0.0000, 0.7560) and S at (0.0000, 0.0000, 0.2562).

***

Entry 3:
This record from Alexandria describes a geometry-optimized HfNi2Br structure. The functional is PBE.

The calculation puts the total DFT energy (no corrections) at -87.9 eV/cell. Its total magnetic moment is 0.000 μB per formula unit. The value obtained for the energy above the most stable polymorph in this dataset is 190 meV per atom.

The space group is Fm-3m (No. 225) and the conventional cell measures 6.3504, 6.3504 and 6.3504 Å, with angles of 90.00, 90.00 and 90.00 degrees. The inequivalent atoms are Hf at (0.0000, 0.0000, 0.0000), Ni at (0.2500, 0.2500, 0.2500) and Br at (0.0000, 0.0000, 0.5000).

***

Entry 4:
This record from Alexandria describes a geometry-optimized MnCu3S4 structure. The functional is PBE.

The calculation puts the total DFT energy (no corrections) at -81.5 eV/cell. Its total magnetic moment is 1.985 μB per formula unit.

The space group is I-42m (No. 121) and the conventional cell measures 5.2487, 5.2487 and 10.3277 Å, with angles of 90.00, 90.00 and 90.00 degrees. The inequivalent atoms are Mn at (0.0000, 0.0000, 0.0000), Cu at (0.0000, 0.0000, 0.5000), Cu at (0.0000, 0.5000, 0.2500) and S at (0.2421, 0.2421, 0.8780).

***

Among the records above, which one has the lowest total DFT energy (no corrections)? PuUSeS

***

Repeat the second record exactly.
This record from Alexandria describes a geometry-optimized PuUSeS structure. The functional is PBE.

The calculation puts the total DFT energy (no corrections) at -116.5 eV/cell. Its total magnetic moment is 8.251 μB per formula unit.

The space group is R3m (No. 160, hexagonal axes) and the conventional cell measures 3.9338, 3.9338 and 20.3470 Å, with angles of 90.00, 90.00 and 120.00 degrees. The inequivalent atoms are Pu at (0.0000, 0.0000, 0.0000), U at (0.0000, 0.0000, 0.5112), Se at (0.0000, 0.0000, 0.7560) and S at (0.0000, 0.0000, 0.2562).

***

Which value of total DFT energy (no corrections) does entry 2 give? -116.5 eV/cell